Entry 1:
{"formula": "MoRh3N", "functional": "PBE-GGA", "state": "relaxed", "polymorph_energy_kj_per_mol_fu": 0, "dft_energy_ev_per_atom": -7.8096, "spacegroup": "Pm-3m, No. 221", "lattice": [[-3.0599, -2.5003, 1.0119], [2.6948, -2.8995, 0.9844], [0.1159, 1.4070, 3.8269]], "species": ["Rh", "Rh", "Rh", "N", "Mo"], "frac_coords": [[0.0000, 0.0000, 0.5000], [0.5000, 0.0000, 0.0000], [0.0000, 0.5000, 0.0000], [0.0000, 0.0000, 0.0000], [0.5000, 0.5000, 0.5000]]}

=====

Entry 2:
{"formula": "FeNi2S4", "functional": "PBE-GGA", "state": "relaxed", "polymorph_energy_kj_per_mol_fu": 445, "dft_energy_ev_per_atom": -4.9738, "spacegroup": "I4/mmm, No. 139", "lattice": [[-0.5871, 2.9702, -3.4195], [-0.7344, -3.4649, -2.8836], [-5.9817, -0.0341, -2.0527]], "species": ["S", "S", "S", "S", "Ni", "Ni", "Fe"], "frac_coords": [[0.2043, 0.2043, 0.5913], [0.0000, 0.5000, 0.0000], [0.7957, 0.7957, 0.4087], [0.5000, 0.0000, 0.0000], [0.3929, 0.3929, 0.2141], [0.6071, 0.6071, 0.7859], [0.0000, 0.0000, 0.0000]]}